(1)
The following is a DFT calculation (PBE-GGA) of a relaxed Al8ZnCu2 crystal.

Structure (CIF):
```
data_Al8ZnCu2
_symmetry_space_group_name_H-M 'C 1 2/m 1'
_symmetry_Int_Tables_number 12
_cell_length_a 7.291
_cell_length_b 10.931
_cell_length_c 4.636
_cell_angle_alpha 90.00
_cell_angle_beta 103.33
_cell_angle_gamma 90.00
loop_
_symmetry_equiv_pos_as_xyz
'x,y,z'
'-x,-y,-z'
'-x,y,-z'
'x,-y,z'
'x+1/2,y+1/2,z'
'-x+1/2,-y+1/2,-z'
'-x+1/2,y+1/2,-z'
'x+1/2,-y+1/2,z'
loop_
_atom_site_label
_atom_site_type_symbol
_atom_site_fract_x
_atom_site_fract_y
_atom_site_fract_z
Al1 Al 0.000 0.244 0.000
Al2 Al 0.122 0.500 0.809
Al3 Al 0.200 0.123 0.622
Zn1 Zn 0.000 0.000 0.000
Cu1 Cu 0.000 0.313 0.500
```

Output
Final energy, eV/atom: -3.58
Energy of formation from the pure elements, eV/atom: 0.00
Total magnetization, μB per cell: 0.00

***

(2)
The following is a DFT calculation (PBE-GGA) of a relaxed Al2ZnCu crystal.

Structure (CIF):
```
data_Al2ZnCu
_symmetry_space_group_name_H-M 'I m m 2'
_symmetry_Int_Tables_number 44
_cell_length_a 2.658
_cell_length_b 4.169
_cell_length_c 11.367
_cell_angle_alpha 90.00
_cell_angle_beta 90.00
_cell_angle_gamma 90.00
loop_
_symmetry_equiv_pos_as_xyz
'x,y,z'
'-x,-y,z'
'-x,y,z'
'x,-y,z'
'x+1/2,y+1/2,z+1/2'
'-x+1/2,-y+1/2,z+1/2'
'-x+1/2,y+1/2,z+1/2'
'x+1/2,-y+1/2,z+1/2'
loop_
_atom_site_label
_atom_site_type_symbol
_atom_site_fract_x
_atom_site_fract_y
_atom_site_fract_z
Al1 Al 0.000 0.000 0.000
Al2 Al 0.000 0.500 0.227
Zn1 Zn 0.000 0.000 0.401
Cu1 Cu 0.000 0.500 0.693
```

Output
Final energy, eV/atom: -3.25
Energy of formation from the pure elements, eV/atom: -0.03
Total magnetization, μB per cell: 0.00

***

(3)
The following is a DFT calculation (PBE-GGA) of a relaxed Al2ZnCu crystal.

Structure (CIF):
```
data_Al2ZnCu
_symmetry_space_group_name_H-M 'I -4 2 d'
_symmetry_Int_Tables_number 122
_symmetry_space_group_name_Hall 'I -4 2bw'
_cell_length_a 7.635
_cell_length_b 7.635
_cell_length_c 4.864
_cell_angle_alpha 90.00
_cell_angle_beta 90.00
_cell_angle_gamma 90.00
loop_
_atom_site_label
_atom_site_type_symbol
_atom_site_fract_x
_atom_site_fract_y
_atom_site_fract_z
Al1 Al 0.183 0.750 0.125
Zn1 Zn 0.000 0.000 0.500
Cu1 Cu 0.000 0.000 0.000
```

Output
Final energy, eV/atom: -2.99
Energy of formation from the pure elements, eV/atom: 0.22
Total magnetization, μB per cell: 0.00

***

(4)
The following is a DFT calculation (PBE-GGA) of a relaxed Al3Zn2Cu8 crystal.

Structure (CIF):
```
data_Al3Zn2Cu8
_symmetry_space_group_name_H-M 'R -3 m'
_symmetry_Int_Tables_number 166
_symmetry_space_group_name_Hall '-R 3 2"'
_cell_length_a 4.8134
_cell_length_b 4.8134
_cell_length_c 27.1722
_cell_angle_alpha 90.00
_cell_angle_beta 90.00
_cell_angle_gamma 120.00
loop_
_atom_site_label
_atom_site_type_symbol
_atom_site_fract_x
_atom_site_fract_y
_atom_site_fract_z
Al1 Al 0.0000 0.0000 0.0000
Al2 Al 0.0000 0.0000 0.1846
Zn1 Zn 0.0000 0.0000 0.3620
Cu1 Cu 0.0000 0.0000 0.2737
Cu2 Cu 0.0008 0.5004 0.7726
```

Output
Final energy, eV/atom: -3.59
Excess energy over the best structure of this formula in the dataset, eV/atom: 0.000
Energy of formation from the pure elements, eV/atom: -0.01
Total magnetization, μB per cell: 0.00